# 1
The following is a DFT calculation (PBE) of a geometry-optimized AgBi3O structure.

Unit cell a=4.968 b=4.968 c=4.968 alpha=90.00 beta=90.00 gamma=90.00
Space group Pm-3m (No. 221)
Asymmetric unit:
Ag (0.000, 0.000, 0.000)
Bi (0.000, 0.500, 0.500)
O (0.500, 0.500, 0.500)

Computed properties:
Energy above the most stable polymorph in this dataset ... 0.0 kJ per mole of atoms

***

# 2
The following is a DFT calculation (PBE) of a geometry-optimized K2AcPaTe4 structure.

Unit cell a=8.110 b=4.630 c=8.755 alpha=90.00 beta=107.68 gamma=90.00
Space group P2/m (No. 10)
Asymmetric unit:
K (0.000, 0.000, 0.000)
K (0.500, 0.500, 0.000)
Ac (0.000, 0.500, 0.500)
Pa (0.500, 0.000, 0.500)
Te (0.257, 0.000, 0.723)
Te (0.276, 0.500, 0.285)

***

# 3
The following is a DFT calculation (PBE) of a geometry-optimized Pm4HoSi4 structure.

Unit cell a=8.935 b=8.935 c=6.009 alpha=90.00 beta=90.00 gamma=90.00
Space group P4_2/n (No. 86, origin choice 2)
Asymmetric unit:
Pm (0.057, 0.670, 0.114)
Ho (0.250, 0.250, 0.250)
Si (0.010, 0.619, 0.603)

***

Number 1: energy -0.1431 hartree per atom, volume 24.5 Å³ per atom, total moment 0.0 μB/f.u.. Number 2: energy -0.1734 hartree per atom, volume 39.2 Å³ per atom, total moment 2.0 μB/f.u.. Number 3: energy -0.2026 hartree per atom, volume 26.7 Å³ per atom, total moment 0.0 μB/f.u..